# 1
## NiTe2Se (SCAN)

Data for a crystal of NiTe2Se relaxed with PBEsol.

The space group is R-3m (No. 166, hexagonal axes) and the conventional cell measures 3.7829, 3.7829 and 20.5781 Å, with angles of 90.00, 90.00 and 120.00 degrees. The distinct sites, in fractional coordinates, are Ni at (0.0000, 0.0000, 0.0000), Te at (0.0000, 0.0000, 0.2681) and Se at (0.0000, 0.0000, 0.5000).


# 2
## TlNiSe (SCAN)

Data for a crystal of TlNiSe relaxed with PBEsol.

The space group is I4mm (No. 107) and the conventional cell measures 3.1772, 3.1772 and 12.0745 Å, with angles of 90.00, 90.00 and 90.00 degrees. The distinct sites, in fractional coordinates, are Tl at (0.0000, 0.0000, 0.0000), Ni at (0.0000, 0.0000, 0.6962) and Se at (0.0000, 0.0000, 0.2614).


# 3
## TlNiSe (SCAN)

Data for a crystal of TlNiSe relaxed with PBEsol.

The space group is F-43m (No. 216) and the conventional cell measures 6.1665, 6.1665 and 6.1665 Å, with angles of 90.00, 90.00 and 90.00 degrees. The distinct sites, in fractional coordinates, are Tl at (0.0000, 0.0000, 0.0000), Ni at (0.2500, 0.2500, 0.7500) and Se at (0.0000, 0.0000, 0.5000).


# 4
## Ni2WSe (SCAN)

Data for a crystal of Ni2WSe relaxed with PBEsol.

The space group is Pmmm (No. 47) and the conventional cell measures 3.0175, 4.1445 and 4.1476 Å, with angles of 90.00, 90.00 and 90.00 degrees. The distinct sites, in fractional coordinates, are Ni at (0.0000, 0.0000, 0.0000), Ni at (0.5000, 0.5000, 0.0000), W at (0.0000, 0.5000, 0.5000) and Se at (0.5000, 0.0000, 0.5000).


# 5
## Y2NiSe (SCAN)

Data for a crystal of Y2NiSe relaxed with PBEsol.

The space group is R-3m (No. 166, hexagonal axes) and the conventional cell measures 3.8530, 3.8530 and 20.6940 Å, with angles of 90.00, 90.00 and 120.00 degrees. The distinct sites, in fractional coordinates, are Y at (0.0000, 0.0000, 0.2428), Ni at (0.0000, 0.0000, 0.5000) and Se at (0.0000, 0.0000, 0.0000).


# 6
## Y2NiSe (SCAN)

Data for a crystal of Y2NiSe relaxed with PBEsol.

The space group is Amm2 (No. 38) and the conventional cell measures 4.0128, 3.8693 and 10.5045 Å, with angles of 90.00, 90.00 and 90.00 degrees. The distinct sites, in fractional coordinates, are Y at (0.0000, 0.0000, 0.0000), Y at (0.5000, 0.0000, 0.2860), Ni at (0.0000, 0.0000, 0.7281) and Se at (0.5000, 0.0000, 0.5690).


| no. | uncorrected formation energy (eV/atom) | size of the total moment (μB/f.u.) | final energy (eV per atom) |
| --- | --- | --- | --- |
| 1 | -0.10 | 0.00 | -27.7893 |
| 2 | -0.02 | 0.00 | -36.2185 |
| 3 | 0.12 | 0.00 | -36.0864 |
| 4 | 0.43 | 0.00 | -30.0976 |
| 5 | -1.14 | 0.05 | -24.1259 |
| 6 | -1.04 | 0.49 | -24.0265 |